A plane-wave DFT calculation with GGA-PBE was carried out for a geometry-optimized TlAs3O8 structure.

Properties
Uncorrected formation energy ... -1.0928 eV/atom
Volume ... 15.7 Å³/atom
Fermi-level density of states ... 0.00 states/eV/f.u.
VASP energy ... -0.4232 Ry/atom

Cell lengths 4.8853, 4.8853, 9.0887 Å; angles 90.00, 90.00, 120.00 degrees
Space group P-3 (No. 147)
One atom of each set of equivalent atoms:
Tl: 0.0000 0.0000 0.0000 x1
As: 0.0000 0.0000 0.5000 x1
As: 0.3333 0.6667 0.6875 x2
O: 0.0142 0.3131 0.6216 x6
O: 0.3333 0.6667 0.8708 x2